Below is a relaxed structure of Sm2Co3Ge4Ir, with properties calculated at the GGA-PBE level.

a = 4.1256 Å, b = 4.1256 Å, c = 9.8157 Å
α = 90.00°, β = 90.00°, γ = 90.00°
Last column: nearest neighbours and their distance in Å.
Fractional positions:
Sm 0.0000 0.5000 0.2427  8 Ge 3.14-3.15, 6 Co 3.14-3.26, 2 Ir 3.26
Sm 0.5000 0.0000 0.7573  8 Ge 3.14-3.15, 6 Co 3.14-3.26, 2 Ir 3.26
Co 0.0000 0.5000 0.8768  5 Ge 2.34-2.39
Co 0.5000 0.0000 0.1232  5 Ge 2.34-2.39
Co 0.5000 0.5000 0.5000  4 Ge 2.47
Ge 0.0000 0.0000 0.0000  4 Co 2.39
Ge 0.0000 0.5000 0.6380  3 Co 2.34-2.47, 2 Ir 2.47
Ge 0.5000 0.0000 0.3620  3 Co 2.34-2.47, 2 Ir 2.47
Ge 0.5000 0.5000 0.0000  4 Co 2.39
Ir 0.0000 0.0000 0.5000  4 Ge 2.47

## Properties
* space group: P-4m2 (115)
* formation energy from the elements: -627 meV per atom